No. 1
This record from Alexandria via LeMat-Bulk describes crystalline Na2CaMg2 at its relaxed geometry. The functional is PBE-GGA.

The structure in POSCAR format:
```
Na2CaMg2
1.0
-2.272 2.272 7.898
2.272 -2.272 7.898
2.272 2.272 -7.898
Na Ca Mg
2 1 2
direct
0.250 0.750 0.500
0.750 0.250 0.500
0.000 0.000 0.000
0.407 0.407 0.000
0.593 0.593 0.000
```

Calculated values
Excess energy over the best structure of this formula in the dataset in meV per atom: 7
Energy of formation from the pure elements in eV per formula unit: 0.60

No. 2
This record from Alexandria via LeMat-Bulk describes crystalline Rb3TeSe3 at its relaxed geometry. The functional is PBE-GGA.

The structure in POSCAR format:
```
Rb3TeSe3
1.0
10.248 0.000 0.000
-5.124 8.875 0.000
0.000 0.000 7.029
Rb Te Se
6 2 6
direct
0.076 0.367 0.250
0.290 0.924 0.250
0.367 0.290 0.750
0.633 0.710 0.250
0.710 0.076 0.750
0.924 0.633 0.750
0.333 0.667 0.750
0.667 0.333 0.250
0.085 0.390 0.750
0.305 0.915 0.750
0.390 0.305 0.250
0.610 0.695 0.750
0.695 0.085 0.250
0.915 0.610 0.250
```

Calculated values
Energy relative to the elements, uncorrected in meV per atom: -761
Excess energy over the best structure of this formula in the dataset in meV per atom: 10

No. 3
This record from Alexandria via LeMat-Bulk describes crystalline BeIr2Os at its relaxed geometry. The functional is PBE-GGA.

The structure in POSCAR format:
```
BeIr2Os
1.0
4.373 -1.365 0.000
4.373 1.365 0.000
-0.807 0.000 4.523
Be Ir Os
1 2 1
direct
0.000 0.000 0.000
0.257 0.257 0.814
0.504 0.504 0.501
0.756 0.756 0.291
```

Calculated values
Energy of formation from the pure elements in eV per formula unit: -0.14

No. 4
This record from Alexandria via LeMat-Bulk describes crystalline CsAgHgCl4 at its relaxed geometry. The functional is PBE-GGA.

The structure in POSCAR format:
```
CsAgHgCl4
1.0
6.804 0.000 0.000
0.000 7.603 0.000
-2.013 0.000 9.046
Cs Ag Hg Cl
2 2 2 8
direct
0.235 0.250 0.050
0.765 0.750 0.950
0.103 0.250 0.497
0.897 0.750 0.503
0.263 0.750 0.334
0.737 0.250 0.666
0.028 0.008 0.703
0.028 0.492 0.703
0.313 0.750 0.074
0.472 0.250 0.441
0.528 0.750 0.559
0.687 0.250 0.926
0.972 0.508 0.297
0.972 0.992 0.297
```

Calculated values
Energy relative to the elements, uncorrected in meV per atom: -958

No. 5
This record from Alexandria via LeMat-Bulk describes crystalline Sb2HCl at its relaxed geometry. The functional is PBE-GGA.

The structure in POSCAR format:
```
Sb2HCl
1.0
0.000 3.454 3.454
3.454 0.000 3.454
3.454 3.454 0.000
Sb H Cl
2 1 1
direct
0.250 0.250 0.250
0.750 0.750 0.750
0.000 0.000 0.000
0.500 0.500 0.500
```

Calculated values
Excess energy over the best structure of this formula in the dataset in meV per atom: 261

No. 6
This record from Alexandria via LeMat-Bulk describes crystalline AcEuPb at its relaxed geometry. The functional is PBE-GGA.

The structure in POSCAR format:
```
AcEuPb
1.0
-2.206 2.206 5.475
2.206 -2.206 5.475
2.206 2.206 -5.475
Ac Eu Pb
1 1 1
direct
0.000 0.000 0.000
0.693 0.693 0.000
0.340 0.340 0.000
```

Calculated values
Excess energy over the best structure of this formula in the dataset in meV per atom: 20
Energy of formation from the pure elements in eV per formula unit: -0.95

No. 7
This record from Alexandria via LeMat-Bulk describes crystalline MgBeCr at its relaxed geometry. The functional is PBE-GGA.

The structure in POSCAR format:
```
MgBeCr
1.0
4.232 0.000 0.000
-2.116 3.665 0.000
0.000 0.000 2.626
Mg Be Cr
1 1 1
direct
0.000 0.000 0.000
0.667 0.333 0.228
0.333 0.667 0.575
```

Calculated values
Excess energy over the best structure of this formula in the dataset in meV per atom: 429
Energy of formation from the pure elements in eV per formula unit: 1.60

No. 8
This record from Alexandria via LeMat-Bulk describes crystalline NbAsSe4 at its relaxed geometry. The functional is PBE-GGA.

The structure in POSCAR format:
```
NbAsSe4
1.0
-2.990 2.990 5.391
2.990 -2.990 5.391
2.990 2.990 -5.391
Nb As Se
1 1 4
direct
0.000 0.000 0.000
0.750 0.250 0.500
0.124 0.116 0.484
0.360 0.876 0.992
0.632 0.640 0.516
0.884 0.368 0.008
```

Calculated values
Energy relative to the elements, uncorrected in meV per atom: -279
Excess energy over the best structure of this formula in the dataset in meV per atom: 0

No. 9
This record from Alexandria via LeMat-Bulk describes crystalline In2AuBr at its relaxed geometry. The functional is PBE-GGA.

The structure in POSCAR format:
```
In2AuBr
1.0
3.719 0.000 0.000
0.000 3.688 0.000
-0.042 0.000 7.989
In Au Br
2 1 1
direct
0.002 0.000 0.198
0.998 0.000 0.802
0.500 0.500 0.000
0.000 0.500 0.500
```

Calculated values
Energy relative to the elements, uncorrected in meV per atom: -280
Excess energy over the best structure of this formula in the dataset in meV per atom: 63

No. 10
This record from Alexandria via LeMat-Bulk describes crystalline Sr4PO2 at its relaxed geometry. The functional is PBE-GGA.

The structure in POSCAR format:
```
Sr4PO2
1.0
2.008 -6.368 0.000
2.008 6.368 0.000
0.000 0.000 12.860
Sr P O
8 2 4
direct
0.000 0.000 0.000
0.000 0.000 0.500
0.268 0.732 0.612
0.268 0.732 0.888
0.438 0.562 0.250
0.562 0.438 0.750
0.732 0.268 0.112
0.732 0.268 0.388
0.115 0.885 0.250
0.885 0.115 0.750
0.368 0.632 0.052
0.368 0.632 0.448
0.632 0.368 0.552
0.632 0.368 0.948
```

Calculated values
Energy relative to the elements, uncorrected in meV per atom: -1806

No. 11
This record from Alexandria via LeMat-Bulk describes crystalline Sm6TeAs5 at its relaxed geometry. The functional is PBE-GGA.

The structure in POSCAR format:
```
Sm6TeAs5
1.0
3.688 -6.377 0.000
3.688 6.377 0.000
-2.459 0.000 6.948
Sm Te As
6 1 5
direct
0.066 0.414 0.742
0.238 0.238 0.257
0.414 0.066 0.742
0.586 0.934 0.258
0.762 0.762 0.743
0.934 0.586 0.258
0.500 0.500 0.000
0.000 0.000 0.500
0.167 0.833 0.000
0.337 0.663 0.500
0.663 0.337 0.500
0.833 0.167 0.000
```

Calculated values
Energy relative to the elements, uncorrected in meV per atom: -1540

No. 12
This record from Alexandria via LeMat-Bulk describes crystalline MnRePb2 at its relaxed geometry. The functional is PBE-GGA.

The structure in POSCAR format:
```
MnRePb2
1.0
4.601 -1.701 0.000
4.601 1.701 0.000
-0.831 0.000 5.268
Mn Re Pb
1 1 2
direct
0.000 0.000 0.000
0.500 0.500 0.500
0.240 0.240 0.740
0.760 0.760 0.260
```

Calculated values
Excess energy over the best structure of this formula in the dataset in meV per atom: 504
Energy of formation from the pure elements in eV per formula unit: 3.68

No. 13
This record from Alexandria via LeMat-Bulk describes crystalline LiRe2Se at its relaxed geometry. The functional is PBE-GGA.

The structure in POSCAR format:
```
LiRe2Se
1.0
4.210 0.000 0.000
0.000 4.210 0.000
0.000 0.000 3.100
Li Re Se
1 2 1
direct
0.000 0.000 0.000
0.000 0.500 0.500
0.500 0.000 0.500
0.500 0.500 0.000
```

Calculated values
Energy relative to the elements, uncorrected in meV per atom: 738

No. 14
This record from Alexandria via LeMat-Bulk describes crystalline Be4Co at its relaxed geometry. The functional is PBE-GGA.

The structure in POSCAR format:
```
Be4Co
1.0
7.104 0.000 0.000
0.000 7.104 0.000
0.000 0.000 4.068
Be Co
16 4
direct
0.000 0.000 0.229
0.000 0.000 0.771
0.105 0.395 0.500
0.108 0.796 0.500
0.204 0.108 0.500
0.296 0.608 0.500
0.392 0.296 0.500
0.395 0.895 0.500
0.500 0.500 0.229
0.500 0.500 0.771
0.605 0.105 0.500
0.608 0.704 0.500
0.704 0.392 0.500
0.796 0.892 0.500
0.892 0.204 0.500
0.895 0.605 0.500
0.125 0.625 0.000
0.375 0.125 0.000
0.625 0.875 0.000
0.875 0.375 0.000
```

Calculated values
Excess energy over the best structure of this formula in the dataset in meV per atom: 797
Energy of formation from the pure elements in eV per formula unit: 2.98

No. 15
This record from Alexandria via LeMat-Bulk describes crystalline LiMnNiSe3 at its relaxed geometry. The functional is PBE-GGA.

The structure in POSCAR format:
```
LiMnNiSe3
1.0
7.191 0.000 0.000
0.000 3.609 0.000
-2.214 0.000 8.411
Li Mn Ni Se
2 2 2 6
direct
0.199 0.250 0.275
0.801 0.750 0.725
0.317 0.750 0.832
0.683 0.250 0.168
0.084 0.250 0.599
0.916 0.750 0.401
0.090 0.250 0.868
0.261 0.750 0.538
0.428 0.750 0.139
0.572 0.250 0.861
0.739 0.250 0.462
0.910 0.750 0.132
```

Calculated values
Energy relative to the elements, uncorrected in meV per atom: -553

No. 16
This record from Alexandria via LeMat-Bulk describes crystalline CuPAu at its relaxed geometry. The functional is PBE-GGA.

The structure in POSCAR format:
```
CuPAu
1.0
0.000 2.919 2.919
2.919 0.000 2.919
2.919 2.919 0.000
Cu P Au
1 1 1
direct
0.000 0.000 0.000
0.250 0.250 0.250
0.500 0.500 0.500
```

Calculated values
Excess energy over the best structure of this formula in the dataset in meV per atom: 0
Energy of formation from the pure elements in eV per formula unit: 0.36

No. 17
This record from Alexandria via LeMat-Bulk describes crystalline Ce2TaPdN5 at its relaxed geometry. The functional is PBE-GGA.

The structure in POSCAR format:
```
Ce2TaPdN5
1.0
1.659 -6.541 0.000
1.659 6.541 0.000
0.000 0.000 10.581
Ce Ta Pd N
4 2 2 10
direct
0.099 0.901 0.500
0.144 0.856 0.122
0.856 0.144 0.622
0.901 0.099 0.000
0.206 0.794 0.834
0.794 0.206 0.334
0.475 0.525 0.271
0.525 0.475 0.771
0.062 0.938 0.901
0.275 0.725 0.468
0.318 0.682 0.200
0.364 0.636 0.813
0.485 0.515 0.584
0.515 0.485 0.084
0.636 0.364 0.313
0.682 0.318 0.700
0.725 0.275 0.968
0.938 0.062 0.401
```

Calculated values
Energy relative to the elements, uncorrected in meV per atom: -861

No. 18
This record from Alexandria via LeMat-Bulk describes crystalline TlInPd2 at its relaxed geometry. The functional is PBE-GGA.

The structure in POSCAR format:
```
TlInPd2
1.0
3.343 0.000 0.000
0.000 3.343 0.000
0.000 0.000 6.794
Tl In Pd
1 1 2
direct
0.000 0.000 0.000
0.000 0.000 0.500
0.500 0.500 0.272
0.500 0.500 0.728
```

Calculated values
Energy of formation from the pure elements in eV per formula unit: -1.23

No. 19
This record from Alexandria via LeMat-Bulk describes crystalline H3Pd7Se at its relaxed geometry. The functional is PBE-GGA.

The structure in POSCAR format:
```
H3Pd7Se
1.0
3.767 -3.832 0.000
3.767 3.832 0.000
-1.049 0.000 4.768
H Pd Se
3 7 1
direct
0.000 0.000 0.000
0.169 0.831 0.500
0.831 0.169 0.500
0.047 0.658 0.761
0.161 0.161 0.741
0.342 0.953 0.239
0.500 0.500 0.500
0.658 0.047 0.761
0.839 0.839 0.259
0.953 0.342 0.239
0.500 0.500 0.000
```

Calculated values
Uncorrected energy in eV per atom: -4.582

No. 20
This record from Alexandria via LeMat-Bulk describes crystalline NaHfIr2 at its relaxed geometry. The functional is PBE-GGA.

The structure in POSCAR format:
```
NaHfIr2
1.0
-3.667 3.667 2.817
3.667 -3.667 2.817
3.667 3.667 -2.817
Na Hf Ir
2 2 4
direct
0.000 0.000 0.000
0.750 0.250 0.500
0.250 0.750 0.500
0.500 0.500 0.000
0.149 0.625 0.024
0.375 0.399 0.524
0.601 0.125 0.976
0.875 0.851 0.476
```

Calculated values
Energy of formation from the pure elements in eV per formula unit: 0.88

No. 21
This record from Alexandria via LeMat-Bulk describes crystalline KSrPdAu at its relaxed geometry. The functional is PBE-GGA.

The structure in POSCAR format:
```
KSrPdAu
1.0
0.000 3.809 3.809
3.809 0.000 3.809
3.809 3.809 0.000
K Sr Pd Au
1 1 1 1
direct
0.000 0.000 0.000
0.500 0.500 0.500
0.750 0.750 0.750
0.250 0.250 0.250
```

Calculated values
Energy of formation from the pure elements in eV per formula unit: -1.29

No. 22
This record from Alexandria via LeMat-Bulk describes crystalline Pr2DyIn2 at its relaxed geometry. The functional is PBE-GGA.

The structure in POSCAR format:
```
Pr2DyIn2
1.0
3.835 0.000 0.000
0.000 5.448 0.000
-1.921 0.000 14.332
Pr Dy In
4 2 4
direct
0.046 0.250 0.093
0.237 0.250 0.473
0.763 0.750 0.527
0.954 0.750 0.907
0.147 0.750 0.296
0.853 0.250 0.704
0.358 0.750 0.715
0.447 0.250 0.893
0.553 0.750 0.107
0.642 0.250 0.285
```

Calculated values
Excess energy over the best structure of this formula in the dataset in meV per atom: 12
Energy of formation from the pure elements in eV per formula unit: -1.85

No. 23
This record from Alexandria via LeMat-Bulk describes crystalline TaTiGaRe at its relaxed geometry. The functional is PBE-GGA.

The structure in POSCAR format:
```
TaTiGaRe
1.0
0.000 3.179 3.179
3.179 0.000 3.179
3.179 3.179 0.000
Ta Ti Ga Re
1 1 1 1
direct
0.000 0.000 0.000
0.500 0.500 0.500
0.250 0.250 0.250
0.750 0.750 0.750
```

Calculated values
Energy of formation from the pure elements in eV per formula unit: -0.87

No. 24
This record from Alexandria via LeMat-Bulk describes crystalline LiBiPCl2 at its relaxed geometry. The functional is PBE-GGA.

The structure in POSCAR format:
```
LiBiPCl2
1.0
4.475 0.000 0.000
0.000 4.475 0.000
0.000 0.000 5.379
Li Bi P Cl
1 1 1 2
direct
0.000 0.000 0.000
0.500 0.500 0.500
0.000 0.000 0.500
0.000 0.500 0.000
0.500 0.000 0.000
```

Calculated values
Energy relative to the elements, uncorrected in meV per atom: -272
Excess energy over the best structure of this formula in the dataset in meV per atom: 0

No. 25
This record from Alexandria via LeMat-Bulk describes crystalline Li2MgTe at its relaxed geometry. The functional is PBE-GGA.

The structure in POSCAR format:
```
Li2MgTe
1.0
0.000 3.598 3.598
3.598 0.000 3.598
3.598 3.598 0.000
Li Mg Te
2 1 1
direct
0.000 0.000 0.000
0.250 0.250 0.250
0.750 0.750 0.750
0.500 0.500 0.500
```

Calculated values
Energy relative to the elements, uncorrected in meV per atom: -279
Excess energy over the best structure of this formula in the dataset in meV per atom: 259

In μB per atom, the total magnetic moment values for the records above are, in order, 0.00 0.14 0.00 0.00 0.00 2.73 0.75 0.00 0.00 0.13 0.00 0.91 0.00 0.32 0.41 0.00 0.00 0.00 0.00 0.00 0.00 0.00 0.00 0.19 0.00.